Computed, not measured: ReSbSI2 after structural relaxation at the PBE level of DFT.

a b c (Å): 5.549 5.549 5.291
angles (deg): 90.00 90.00 90.00
Last column: magnetic moment on the atom in μB.
Fractional coordinates of all 5 atoms:
1 I 0.000 0.500 0.000  0.03
2 I 0.500 0.000 0.000  0.03
3 Re 0.500 0.500 0.500  4.03
4 S 0.000 0.000 0.000  -0.06
5 Sb 0.000 0.000 0.500  -0.30

Results
raw total energy: -3.20 eV per atom
space-group type: P4/mmm (123)
ΔE to the lowest computed polymorph: 595 meV/atom